Entry 1:
Material: TbTlSnTe3
Method: DFT, GGA-PBE
State: optimized geometry

Results
The calculation puts the uncorrected energy at -0.306 Ry/atom. The symmetry is P2_1/m (11).

a = 4.4059 Å, b = 9.8872 Å, c = 10.1955 Å
α = 101.93°, β = 90.00°, γ = 90.00°
Fractional positions:
1 Te 0.2500 0.6731 0.4678
2 Te 0.2500 0.1268 0.8305
3 Te 0.2500 0.5760 0.8498
4 Te 0.7500 0.3269 0.5322
5 Te 0.7500 0.4240 0.1502
6 Te 0.7500 0.8732 0.1695
7 Tl 0.2500 0.1852 0.1974
8 Tl 0.7500 0.8148 0.8026
9 Sn 0.2500 0.1272 0.5415
10 Sn 0.7500 0.8728 0.4585
11 Tb 0.7500 0.3549 0.8417
12 Tb 0.2500 0.6451 0.1583

Entry 2:
Material: Tb4TlSnTe2
Method: DFT, GGA-PBE
State: optimized geometry

Results
The calculation puts the uncorrected energy at -0.355 Ry/atom. The symmetry is P2/m (10).

a = 4.3686 Å, b = 7.9503 Å, c = 7.3241 Å
α = 71.13°, β = 90.00°, γ = 90.00°
Fractional positions:
1 Tb 0.0000 0.7490 0.7499
2 Tb 0.5000 0.2563 0.7443
3 Tb 0.5000 0.7437 0.2557
4 Tb 0.0000 0.2510 0.2501
5 Te 0.5000 0.0000 0.5000
6 Te 0.0000 0.0000 0.0000
7 Tl 0.5000 0.5000 0.0000
8 Sn 0.0000 0.5000 0.5000

Entry 3:
Material: Tb6TlSn2Te3
Method: DFT, GGA-PBE
State: optimized geometry

Results
The calculation puts the uncorrected energy at -0.363 Ry/atom. The symmetry is C2/m (12).

a = 4.3872 Å, b = 8.8672 Å, c = 9.9591 Å
α = 106.21°, β = 102.72°, γ = 90.00°
Fractional positions:
1 Tb 0.0002 0.7495 0.0003
2 Tb 0.6698 0.5721 0.3397
3 Tb 0.6666 0.0853 0.3331
4 Tb 0.3334 0.9147 0.6669
5 Tb 0.9998 0.2505 0.9997
6 Tb 0.3302 0.4279 0.6603
7 Te 0.5000 0.5000 0.0000
8 Te 0.8325 0.1711 0.6650
9 Te 0.1675 0.8289 0.3350
10 Tl 0.5000 0.0000 0.0000
11 Sn 0.1644 0.3263 0.3287
12 Sn 0.8356 0.6737 0.6713

Entry 4:
Material: TbTmSnTe
Method: DFT, GGA-PBE
State: optimized geometry

Results
The calculation puts the uncorrected energy at -0.373 Ry/atom. The symmetry is R3m (160).

a = 4.3738 Å, b = 4.3738 Å, c = 7.6096 Å
α = 73.30°, β = 73.30°, γ = 60.00°
Fractional positions:
1 Tb 0.4394 0.4394 0.6817
2 Tm 0.9487 0.9487 0.1539
3 Sn 0.6926 0.6926 0.9222
4 Te 0.1957 0.1957 0.4129

Q: Which ρ values were calculated for the entries above? A: 6.6; 8.4; 8.2; 8.0, in Mg/m³.
Q: Which E_form (uncorrected) values were calculated for the entries above? A: -759; -927; -971; -1013, in meV/atom.